Crystalline LiCaYIr at its relaxed geometry, computed with GGA-PBE.

a b c (Å): 4.950 4.950 4.950
angles (deg): 60.00 60.00 60.00
Sites, in units of the cell vectors:
Y (0.000, 0.000, 0.000)
Ca (0.500, 0.500, 0.500)
Ir (0.250, 0.250, 0.250)
Li (0.750, 0.750, 0.750)

Calculated values
DOS(E_F): 2.076 states/eV/f.u.
Space group: F-43m
E: -5.1905 eV/atom